Density functional theory data (PBEsol) for an optimized crystal structure of SrLi.

Cell: 4.0409 4.0409 5.4958 Å, 90.00 90.00 120.00°
Closest atoms and distances in Å follow each position.
Space group P-6m2 (No. 187)
Asymmetric unit:
1 Sr 0.0000 0.0000 0.0000 (multiplicity 1)  6 Li 3.60
2 Li 0.6667 0.3333 0.5000 (multiplicity 1)  6 Sr 3.60

Results
As for the formation enthalpy at 0 K: 0.281 eV/f.u. The value obtained for the density of states at the Fermi level is 2.02 states/eV/cell. The calculation puts the distance to the lowest polymorph of the same formula at 114 meV/atom.

Density functional theory data (PBEsol) for an optimized crystal structure of Re2SiS.

Cell: 5.4893 5.4893 9.7260 Å, 90.00 90.00 90.00°
Closest atoms and distances in Å follow each position.
Space group I-42d (No. 122)
Asymmetric unit:
1 Re 0.2304 0.2500 0.1250 (multiplicity 8)  2 S 2.23, 2 Si 2.36
2 Si 0.0000 0.0000 0.5000 (multiplicity 4)  4 Re 2.36
3 S 0.0000 0.0000 0.0000 (multiplicity 4)  4 Re 2.23

Results
As for the formation energy without anion corrections: 69.7 kJ per mole of atoms. The value obtained for the density of states at the Fermi level is 18.69 states/eV/cell. The calculation puts the distance to the lowest polymorph of the same formula at 647 meV/atom.

Density functional theory data (PBEsol) for an optimized crystal structure of Be2SiTe.

Cell: 3.6386 3.6386 16.0283 Å, 90.00 90.00 120.00°
Closest atoms and distances in Å follow each position.
Space group R-3m (No. 166, hexagonal axes)
Asymmetric unit:
1 Be 0.0000 0.0000 0.2257 (multiplicity 6)  3 Si 2.30
2 Si 0.0000 0.0000 0.5000 (multiplicity 3)  6 Be 2.30
3 Te 0.0000 0.0000 0.0000 (multiplicity 3)  6 Be 2.72

Results
As for the formation energy without anion corrections: 35.2 kJ per mole of atoms. The value obtained for the density of states at the Fermi level is 3.87 states/eV/cell. The calculation puts the distance to the lowest polymorph of the same formula at 0 meV/atom.

Density functional theory data (PBEsol) for an optimized crystal structure of RbPd3S.

Cell: 4.6221 4.6221 4.6221 Å, 90.00 90.00 90.00°
Closest atoms and distances in Å follow each position.
Space group Pm-3m (No. 221)
Asymmetric unit:
1 Rb 0.0000 0.0000 0.0000 (multiplicity 1)  12 Pd 3.27
2 Pd 0.0000 0.5000 0.5000 (multiplicity 3)  2 S 2.31
3 S 0.5000 0.5000 0.5000 (multiplicity 1)  6 Pd 2.31

Results
As for the formation energy without anion corrections: -13.8 kJ per mole of atoms. The value obtained for the density of states at the Fermi level is 4.05 states/eV/cell.

Density functional theory data (PBEsol) for an optimized crystal structure of LiYZnMo2.

Cell: 4.7605 4.7605 5.2537 Å, 90.00 90.00 90.00°
Closest atoms and distances in Å follow each position.
Space group P4/mmm (No. 123)
Asymmetric unit:
1 Li 0.0000 0.0000 0.0000 (multiplicity 1)  4 Zn 3.37, 8 Mo 3.54
2 Y 0.5000 0.5000 0.5000 (multiplicity 1)  4 Mo 2.38, 2 Zn 2.63
3 Zn 0.5000 0.5000 0.0000 (multiplicity 1)  2 Y 2.63
4 Mo 0.0000 0.5000 0.5000 (multiplicity 2)  2 Y 2.38

Results
As for the formation enthalpy at 0 K: 9.952 eV/f.u. The value obtained for the density of states at the Fermi level is 5.67 states/eV/cell.

Density functional theory data (PBEsol) for an optimized crystal structure of ZnSi2Cl.

Cell: 2.8377 4.6401 4.8972 Å, 90.00 90.00 90.00°
Closest atoms and distances in Å follow each position.
Space group Pmmm (No. 47)
Asymmetric unit:
1 Zn 0.0000 0.0000 0.0000 (multiplicity 1)  4 Si 2.72, 4 Cl 2.83, 2 Zn 2.84
2 Si 0.0000 0.5000 0.5000 (multiplicity 1)  4 Cl 2.72, 6 Si 2.83-2.84
3 Si 0.5000 0.5000 0.0000 (multiplicity 1)  4 Zn 2.72, 6 Si 2.83-2.84
4 Cl 0.5000 0.0000 0.5000 (multiplicity 1)  4 Si 2.72, 4 Zn 2.83, 2 Cl 2.84

Results
As for the formation energy without anion corrections: 24.9 kJ per mole of atoms. The value obtained for the density of states at the Fermi level is 1.16 states/eV/cell. The calculation puts the distance to the lowest polymorph of the same formula at 40 meV/atom.

Density functional theory data (PBEsol) for an optimized crystal structure of Mn2MoPt.

Cell: 2.9399 3.2349 5.7285 Å, 90.00 90.00 90.00°
Closest atoms and distances in Å follow each position.
Space group Pmmm (No. 47)
Asymmetric unit:
1 Mn 0.0000 0.0000 0.2405 (multiplicity 2)  4 Mo 2.58, 4 Pt 2.64, 1 Mn 2.76
2 Mo 0.5000 0.5000 0.0000 (multiplicity 1)  8 Mn 2.58, 2 Pt 2.86
3 Pt 0.5000 0.5000 0.5000 (multiplicity 1)  8 Mn 2.64, 2 Mo 2.86, 2 Pt 2.94

Results
As for the formation enthalpy at 0 K: 0.034 eV/f.u. The value obtained for the density of states at the Fermi level is 2.99 states/eV/cell.

Density functional theory data (PBEsol) for an optimized crystal structure of CaTeAsBr2.

Cell: 5.4636 5.4636 5.4620 Å, 90.00 90.00 90.00°
Closest atoms and distances in Å follow each position.
Space group P4/mmm (No. 123)
Asymmetric unit:
1 Ca 0.0000 0.0000 0.0000 (multiplicity 1)  8 Br 3.86, 4 As 3.86
2 Te 0.5000 0.5000 0.5000 (multiplicity 1)  2 As 2.73, 4 Br 2.73
3 As 0.5000 0.5000 0.0000 (multiplicity 1)  2 Te 2.73
4 Br 0.0000 0.5000 0.5000 (multiplicity 2)  2 Te 2.73

Results
As for the formation energy without anion corrections: -20.2 kJ per mole of atoms. The value obtained for the density of states at the Fermi level is 1.84 states/eV/cell.

Density functional theory data (PBEsol) for an optimized crystal structure of BaYSe2.

Cell: 4.2204 4.2204 21.8220 Å, 90.00 90.00 120.00°
Closest atoms and distances in Å follow each position.
Space group R-3m (No. 166, hexagonal axes)
Asymmetric unit:
1 Ba 0.0000 0.0000 0.0000 (multiplicity 3)  6 Se 3.21
2 Y 0.0000 0.0000 0.5000 (multiplicity 3)  6 Se 2.89
3 Se 0.0000 0.0000 0.2375 (multiplicity 6)  3 Y 2.89, 3 Ba 3.21

Results
As for the formation energy without anion corrections: -186.9 kJ per mole of atoms. The value obtained for the density of states at the Fermi level is 4.22 states/eV/cell. The calculation puts the distance to the lowest polymorph of the same formula at 0 meV/atom.

Density functional theory data (PBEsol) for an optimized crystal structure of LaPW2.

Cell: 8.9035 3.3006 5.1639 Å, 90.00 102.16 90.00°
Closest atoms and distances in Å follow each position.
Space group C2/m (No. 12)
Asymmetric unit:
1 La 0.0000 0.0000 0.0000 (multiplicity 2)  6 W 2.86-3.15, 4 P 3.06
2 P 0.0000 0.5000 0.5000 (multiplicity 2)  6 W 2.59-2.80
3 W 0.2223 0.0000 0.6725 (multiplicity 4)  2 W 2.55, 3 P 2.59-2.80

Results
As for the formation enthalpy at 0 K: 0.911 eV/f.u. The value obtained for the density of states at the Fermi level is 6.25 states/eV/cell. The calculation puts the distance to the lowest polymorph of the same formula at 0 meV/atom.

Density functional theory data (PBEsol) for an optimized crystal structure of NpIO.

Cell: 3.9146 3.9146 9.1713 Å, 90.00 90.00 90.00°
Closest atoms and distances in Å follow each position.
Space group P4/nmm (No. 129, origin choice 2)
Asymmetric unit:
1 Np 0.2500 0.2500 0.1272 (multiplicity 2)  4 O 2.28
2 I 0.2500 0.2500 0.6750 (multiplicity 2)  4 Np 3.31, 4 O 3.57
3 O 0.2500 0.7500 0.0000 (multiplicity 2)  4 Np 2.28

Results
As for the formation energy without anion corrections: -185.7 kJ per mole of atoms. The value obtained for the density of states at the Fermi level is 12.20 states/eV/cell.

Density functional theory data (PBEsol) for an optimized crystal structure of InSbSe.

Cell: 7.0045 7.0045 7.0045 Å, 90.00 90.00 90.00°
Closest atoms and distances in Å follow each position.
Space group F-43m (No. 216)
Asymmetric unit:
1 In 0.0000 0.0000 0.0000 (multiplicity 4)  4 Sb 3.03
2 Sb 0.2500 0.2500 0.7500 (multiplicity 4)  4 Se 3.03, 4 In 3.03
3 Se 0.0000 0.0000 0.5000 (multiplicity 4)  4 Sb 3.03

Results
As for the formation energy without anion corrections: 14.8 kJ per mole of atoms. The value obtained for the density of states at the Fermi level is 15.18 states/eV/cell.